First-principles (PBE) data for CsHfCdAu after structural relaxation, as listed in OQMD.

For the mass density, the calculation gives 10.1 g cm⁻³. The total energy is -0.109 hartree per atom. The spin magnetization is 0.00 μB/atom.

Cell and atoms, written as CIF:
```
data_CsHfCdAu
_space_group_name_H-M_alt 'F -4 3 m'
_space_group_IT_number 216
_space_group_name_Hall 'F -4 2 3'
_cell_length_a 7.410
_cell_length_b 7.410
_cell_length_c 7.410
_cell_angle_alpha 90.00
_cell_angle_beta 90.00
_cell_angle_gamma 90.00
loop_
_atom_site_label
_atom_site_type_symbol
_atom_site_fract_x
_atom_site_fract_y
_atom_site_fract_z
Cs1 Cs 0.000 0.000 0.000
Hf1 Hf 0.250 0.250 0.750
Cd1 Cd 0.000 0.000 0.500
Au1 Au 0.250 0.250 0.250
```